# AlCu2Os | Alexandria via LeMat-Bulk | GGA-PBE | relaxed
data_AlCu2Os
_chemical_formula_sum 'Al1 Cu2 Os1'
_cell_length_a 2.6938
_cell_length_b 2.6938
_cell_length_c 7.2831
_cell_angle_alpha 90.00
_cell_angle_beta 90.00
_cell_angle_gamma 90.00
_space_group_name_H-M_alt 'P 4/m m m'
_space_group_IT_number 123
_space_group_name_Hall '-P 4 2'
loop_
_atom_site_label
_atom_site_type_symbol
_atom_site_fract_x
_atom_site_fract_y
_atom_site_fract_z
_atom_site_occupancy
Al1 Al 0.0000 0.0000 0.0000 1
Cu1 Cu 0.5000 0.5000 0.2410 1
Os1 Os 0.0000 0.0000 0.5000 1
# DFT total energy (eV/atom): -5.594
# Total magnetic moment (μB per formula unit): 0.00
# Crystal system: tetragonal

# Al2CuOs | Alexandria via LeMat-Bulk | GGA-PBE | relaxed
data_Al2CuOs
_chemical_formula_sum 'Al4 Cu2 Os2'
_cell_length_a 2.9651
_cell_length_b 4.6985
_cell_length_c 8.1814
_cell_angle_alpha 90.00
_cell_angle_beta 90.00
_cell_angle_gamma 90.00
_space_group_name_H-M_alt 'C m m m'
_space_group_IT_number 65
_space_group_name_Hall '-C 2 2'
loop_
_atom_site_label
_atom_site_type_symbol
_atom_site_fract_x
_atom_site_fract_y
_atom_site_fract_z
_atom_site_occupancy
Al1 Al 0.0000 0.0000 0.2495 1
Cu1 Cu 0.0000 0.5000 0.5000 1
Os1 Os 0.0000 0.5000 0.0000 1
# DFT total energy (eV/atom): -5.761
# Total magnetic moment (μB per formula unit): 0.00
# Crystal system: orthorhombic

# AlCu2Os | Alexandria via LeMat-Bulk | GGA-PBE | relaxed
data_AlCu2Os
_chemical_formula_sum 'Al1 Cu2 Os1'
_cell_length_a 2.6478
_cell_length_b 4.3650
_cell_length_c 4.6386
_cell_angle_alpha 90.00
_cell_angle_beta 96.44
_cell_angle_gamma 90.00
_space_group_name_H-M_alt 'P 1 2/m 1'
_space_group_IT_number 10
_space_group_name_Hall '-P 2y'
loop_
_atom_site_label
_atom_site_type_symbol
_atom_site_fract_x
_atom_site_fract_y
_atom_site_fract_z
_atom_site_occupancy
Al1 Al 0.0000 0.0000 0.0000 1
Cu1 Cu 0.1927 0.5000 0.7513 1
Os1 Os 0.5000 0.0000 0.5000 1
# DFT total energy (eV/atom): -5.732
# Total magnetic moment (μB per formula unit): 0.00
# Crystal system: monoclinic

# Al5CuOs4 | Alexandria via LeMat-Bulk | GGA-PBE | relaxed
data_Al5CuOs4
_chemical_formula_sum 'Al5 Cu1 Os4'
_cell_length_a 3.0606
_cell_length_b 3.0606
_cell_length_c 14.6437
_cell_angle_alpha 90.00
_cell_angle_beta 90.00
_cell_angle_gamma 90.00
_space_group_name_H-M_alt 'P 4/m m m'
_space_group_IT_number 123
_space_group_name_Hall '-P 4 2'
loop_
_atom_site_label
_atom_site_type_symbol
_atom_site_fract_x
_atom_site_fract_y
_atom_site_fract_z
_atom_site_occupancy
Al1 Al 0.0000 0.0000 0.0000 1
Al2 Al 0.0000 0.0000 0.2023 1
Al3 Al 0.0000 0.0000 0.3978 1
Cu1 Cu 0.5000 0.5000 0.5000 1
Os1 Os 0.5000 0.5000 0.1008 1
Os2 Os 0.5000 0.5000 0.3061 1
# DFT total energy (eV/atom): -7.149
# Total magnetic moment (μB per formula unit): 0.00
# Crystal system: tetragonal

# AlCu4Os | Alexandria via LeMat-Bulk | GGA-PBE | relaxed
data_AlCu4Os
_chemical_formula_sum 'Al4 Cu16 Os4'
_cell_length_a 6.7331
_cell_length_b 6.7331
_cell_length_c 6.7331
_cell_angle_alpha 90.00
_cell_angle_beta 90.00
_cell_angle_gamma 90.00
_space_group_name_H-M_alt 'F -4 3 m'
_space_group_IT_number 216
_space_group_name_Hall 'F -4 2 3'
loop_
_atom_site_label
_atom_site_type_symbol
_atom_site_fract_x
_atom_site_fract_y
_atom_site_fract_z
_atom_site_occupancy
Al1 Al 0.0000 0.0000 0.0000 1
Cu1 Cu 0.1249 0.1249 0.6249 1
Os1 Os 0.2500 0.2500 0.2500 1
# DFT total energy (eV/atom): -5.060
# Total magnetic moment (μB per formula unit): 0.00
# Crystal system: cubic

# Al2CuOs | Alexandria via LeMat-Bulk | GGA-PBE | relaxed
data_Al2CuOs
_chemical_formula_sum 'Al8 Cu4 Os4'
_cell_length_a 6.0526
_cell_length_b 6.0526
_cell_length_c 6.0526
_cell_angle_alpha 90.00
_cell_angle_beta 90.00
_cell_angle_gamma 90.00
_space_group_name_H-M_alt 'F -4 3 m'
_space_group_IT_number 216
_space_group_name_Hall 'F -4 2 3'
loop_
_atom_site_label
_atom_site_type_symbol
_atom_site_fract_x
_atom_site_fract_y
_atom_site_fract_z
_atom_site_occupancy
Al1 Al 0.0000 0.0000 0.0000 1
Al2 Al 0.2500 0.2500 0.2500 1
Cu1 Cu 0.0000 0.0000 0.5000 1
Os1 Os 0.2500 0.2500 0.7500 1
# DFT total energy (eV/atom): -5.713
# Total magnetic moment (μB per formula unit): 0.00
# Crystal system: cubic